(1)
VASP calculation (PBE-GGA) on an optimized crystal structure of LaTaRu3.

Cell: 4.781 4.781 4.781 Å, 90.00 90.00 90.00°
Space group Pm-3m (No. 221)
Symmetry-distinct sites (fractional):
La 0.000 0.000 0.000 x1
Ta 0.500 0.500 0.500 x1
Ru 0.000 0.500 0.500 x3

- E_form (kcal/mol of atoms) = 12.203
- ΔE to the lowest computed polymorph (meV per atom) = 0

---

(2)
VASP calculation (PBE-GGA) on an optimized crystal structure of LaTaRu2.

Cell: 10.191 3.161 5.099 Å, 90.00 103.76 90.00°
Space group Cm (No. 8)
Symmetry-distinct sites (fractional):
La 0.000 0.000 0.000 x2
Ta 0.292 0.500 0.351 x2
Ru 0.006 0.500 0.519 x2
Ru 0.232 0.000 0.691 x2

- E_form (kcal/mol of atoms) = 2.898

---

(3)
VASP calculation (PBE-GGA) on an optimized crystal structure of LaTa2Ru.

Cell: 3.181 3.181 8.069 Å, 90.00 90.00 90.00°
Space group P4/mmm (No. 123)
Symmetry-distinct sites (fractional):
La 0.000 0.000 0.000 x1
Ta 0.500 0.500 0.308 x2
Ru 0.000 0.000 0.500 x1

- E_form (kcal/mol of atoms) = 3.544

---

(4)
VASP calculation (PBE-GGA) on an optimized crystal structure of LaTaRu2.

Cell: 7.214 7.214 6.347 Å, 90.00 90.00 90.00°
Space group I-42d (No. 122)
Symmetry-distinct sites (fractional):
La 0.000 0.000 0.000 x4
Ta 0.000 0.000 0.500 x4
Ru 0.214 0.750 0.625 x8

- E_form (kcal/mol of atoms) = 5.411

---

(5)
VASP calculation (PBE-GGA) on an optimized crystal structure of LaTa3Ru.

Cell: 4.818 4.818 4.818 Å, 90.00 90.00 90.00°
Space group Pm-3m (No. 221)
Symmetry-distinct sites (fractional):
La 0.000 0.000 0.000 x1
Ta 0.000 0.000 0.500 x3
Ru 0.500 0.500 0.500 x1

- E_form (kcal/mol of atoms) = 57.813
- ΔE to the lowest computed polymorph (meV per atom) = 1786

---

(6)
VASP calculation (PBE-GGA) on an optimized crystal structure of La2TaRu.

Cell: 7.084 7.084 7.084 Å, 90.00 90.00 90.00°
Space group F-43m (No. 216)
Symmetry-distinct sites (fractional):
La 0.000 0.000 0.000 x4
La 0.250 0.250 0.250 x4
Ta 0.000 0.000 0.500 x4
Ru 0.250 0.250 0.750 x4

- E_form (kcal/mol of atoms) = 8.723
- ΔE to the lowest computed polymorph (meV per atom) = 405

---

(7)
VASP calculation (PBE-GGA) on an optimized crystal structure of LaTaRu4.

Cell: 7.481 7.481 7.481 Å, 90.00 90.00 90.00°
Space group F-43m (No. 216)
Symmetry-distinct sites (fractional):
La 0.000 0.000 0.000 x4
Ta 0.250 0.250 0.250 x4
Ru 0.124 0.124 0.624 x16

- E_form (kcal/mol of atoms) = 2.232

---

(8)
VASP calculation (PBE-GGA) on an optimized crystal structure of La2TaRu.

Cell: 3.320 3.320 8.663 Å, 90.00 90.00 90.00°
Space group P4/mmm (No. 123)
Symmetry-distinct sites (fractional):
La 0.000 0.000 0.221 x2
Ta 0.500 0.500 0.500 x1
Ru 0.500 0.500 0.000 x1

- E_form (kcal/mol of atoms) = 8.694
- ΔE to the lowest computed polymorph (meV per atom) = 404

---

Number 1: total energy -8.39 eV/atom, total moment 0.00 μB/cell, theoretical density 9.469 g/cm3. Number 2: total energy -8.71 eV/atom, total moment 0.00 μB/cell, theoretical density 10.867 g/cm3. Number 3: total energy -9.32 eV/atom, total moment 0.00 μB/cell, theoretical density 12.238 g/cm3. Number 4: total energy -8.60 eV/atom, total moment 0.00 μB/cell, theoretical density 10.497 g/cm3. Number 5: total energy -7.45 eV/atom, total moment 0.00 μB/cell, theoretical density 11.620 g/cm3. Number 6: total energy -7.37 eV/atom, total moment 0.00 μB/cell, theoretical density 10.459 g/cm3. Number 7: total energy -8.88 eV/atom, total moment 0.00 μB/cell, theoretical density 11.488 g/cm3. Number 8: total energy -7.37 eV/atom, total moment 0.00 μB/cell, theoretical density 9.737 g/cm3.